[1]
# PBE-GGA Ce2Mg2Co3, optimized geometry
data_Ce2Mg2Co3
_chemical_formula_sum 'Ce2 Mg2 Co3'
_space_group_name_H-M_alt 'P 1'
_space_group_IT_number 1
_space_group_name_Hall 'P 1'
_cell_length_a 3.512
_cell_length_b 5.860
_cell_length_c 6.816
_cell_angle_alpha 82.82
_cell_angle_beta 75.37
_cell_angle_gamma 89.72
loop_
_atom_site_label
_atom_site_type_symbol
_atom_site_fract_x
_atom_site_fract_y
_atom_site_fract_z
Ce1 Ce 0.133 0.146 0.228
Ce2 Ce 0.867 0.854 0.772
Mg1 Mg 0.399 0.349 0.704
Mg2 Mg 0.601 0.651 0.296
Co1 Co 0.254 0.643 0.987
Co2 Co 0.500 0.000 0.500
Co3 Co 0.746 0.357 0.013
# Energy relative to the elements in eV per atom: -0.1184

---

[2]
# PBE-GGA CeMg6Co, optimized geometry
data_CeMg6Co
_chemical_formula_sum 'Ce1 Mg6 Co1'
_space_group_name_H-M_alt 'P 1'
_space_group_IT_number 1
_space_group_name_Hall 'P 1'
_cell_length_a 4.823
_cell_length_b 6.761
_cell_length_c 6.761
_cell_angle_alpha 54.71
_cell_angle_beta 90.00
_cell_angle_gamma 90.00
loop_
_atom_site_label
_atom_site_type_symbol
_atom_site_fract_x
_atom_site_fract_y
_atom_site_fract_z
Ce1 Ce 0.000 0.000 0.000
Mg1 Mg 0.000 0.444 0.444
Mg2 Mg 0.000 0.482 0.970
Mg3 Mg 0.000 0.970 0.482
Mg4 Mg 0.500 0.111 0.626
Mg5 Mg 0.500 0.604 0.604
Mg6 Mg 0.500 0.626 0.111
Co1 Co 0.500 0.063 0.063
# Energy relative to the elements in eV per atom: 0.1269

---

[3]
# PBE-GGA CeMgCo2, optimized geometry
data_CeMgCo2
_chemical_formula_sum 'Ce1 Mg1 Co2'
_space_group_name_H-M_alt 'P 1'
_space_group_IT_number 1
_space_group_name_Hall 'P 1'
_cell_length_a 3.280
_cell_length_b 3.280
_cell_length_c 6.136
_cell_angle_alpha 90.00
_cell_angle_beta 90.00
_cell_angle_gamma 90.00
loop_
_atom_site_label
_atom_site_type_symbol
_atom_site_fract_x
_atom_site_fract_y
_atom_site_fract_z
Ce1 Ce 0.000 0.000 0.000
Mg1 Mg 0.000 0.000 0.500
Co1 Co 0.500 0.500 0.235
Co2 Co 0.500 0.500 0.765
# Energy relative to the elements in eV per atom: 0.0232

---

[4]
# PBE-GGA Ce2MgCoPb, optimized geometry
data_Ce2MgCoPb
_chemical_formula_sum 'Ce2 Mg1 Co1 Pb1'
_space_group_name_H-M_alt 'P 1'
_space_group_IT_number 1
_space_group_name_Hall 'P 1'
_cell_length_a 4.993
_cell_length_b 4.993
_cell_length_c 5.008
_cell_angle_alpha 90.00
_cell_angle_beta 90.00
_cell_angle_gamma 90.00
loop_
_atom_site_label
_atom_site_type_symbol
_atom_site_fract_x
_atom_site_fract_y
_atom_site_fract_z
Ce1 Ce 0.000 0.500 0.000
Ce2 Ce 0.500 0.000 0.000
Mg1 Mg 0.000 0.000 0.500
Co1 Co 0.000 0.000 0.000
Pb1 Pb 0.500 0.500 0.500
# Energy relative to the elements in eV per atom: -0.3218

---

[5]
# PBE-GGA CeMgCoPd, optimized geometry
data_CeMgCoPd
_chemical_formula_sum 'Ce1 Mg1 Co1 Pd1'
_space_group_name_H-M_alt 'P 1'
_space_group_IT_number 1
_space_group_name_Hall 'P 1'
_cell_length_a 4.708
_cell_length_b 4.708
_cell_length_c 4.708
_cell_angle_alpha 60.00
_cell_angle_beta 60.00
_cell_angle_gamma 60.00
loop_
_atom_site_label
_atom_site_type_symbol
_atom_site_fract_x
_atom_site_fract_y
_atom_site_fract_z
Ce1 Ce 0.000 0.000 0.000
Mg1 Mg 0.500 0.500 0.500
Co1 Co 0.750 0.750 0.750
Pd1 Pd 0.250 0.250 0.250
# Energy relative to the elements in eV per atom: -0.2930

---

[6]
# PBE-GGA CeMgCoPt, optimized geometry
data_CeMgCoPt
_chemical_formula_sum 'Ce1 Mg1 Co1 Pt1'
_space_group_name_H-M_alt 'P 1'
_space_group_IT_number 1
_space_group_name_Hall 'P 1'
_cell_length_a 4.711
_cell_length_b 4.711
_cell_length_c 4.711
_cell_angle_alpha 60.00
_cell_angle_beta 60.00
_cell_angle_gamma 60.00
loop_
_atom_site_label
_atom_site_type_symbol
_atom_site_fract_x
_atom_site_fract_y
_atom_site_fract_z
Ce1 Ce 0.000 0.000 0.000
Mg1 Mg 0.500 0.500 0.500
Co1 Co 0.750 0.750 0.750
Pt1 Pt 0.250 0.250 0.250
# Energy relative to the elements in eV per atom: -0.4472

---

[7]
# PBE-GGA Ce2MgCo5Si2, optimized geometry
data_Ce2MgCo5Si2
_chemical_formula_sum 'Ce4 Mg2 Co10 Si4'
_space_group_name_H-M_alt 'P 1'
_space_group_IT_number 1
_space_group_name_Hall 'P 1'
_cell_length_a 9.583
_cell_length_b 9.583
_cell_length_c 3.362
_cell_angle_alpha 90.00
_cell_angle_beta 90.00
_cell_angle_gamma 90.00
loop_
_atom_site_label
_atom_site_type_symbol
_atom_site_fract_x
_atom_site_fract_y
_atom_site_fract_z
Ce1 Ce 0.182 0.318 0.000
Ce2 Ce 0.318 0.818 0.000
Ce3 Ce 0.682 0.182 0.000
Ce4 Ce 0.818 0.682 0.000
Mg1 Mg 0.000 0.000 0.000
Mg2 Mg 0.500 0.500 0.000
Co1 Co 0.000 0.500 0.500
Co2 Co 0.067 0.770 0.500
Co3 Co 0.230 0.067 0.500
Co4 Co 0.270 0.567 0.500
Co5 Co 0.433 0.270 0.500
Co6 Co 0.500 0.000 0.500
Co7 Co 0.567 0.730 0.500
Co8 Co 0.730 0.433 0.500
Co9 Co 0.770 0.933 0.500
Co10 Co 0.933 0.230 0.500
Si1 Si 0.114 0.614 0.000
Si2 Si 0.386 0.114 0.000
Si3 Si 0.614 0.886 0.000
Si4 Si 0.886 0.386 0.000
# E_form (uncorrected) in meV per atom: -326

---

[8]
# PBE-GGA CeMgCoTc, optimized geometry
data_CeMgCoTc
_chemical_formula_sum 'Ce1 Mg1 Co1 Tc1'
_space_group_name_H-M_alt 'P 1'
_space_group_IT_number 1
_space_group_name_Hall 'P 1'
_cell_length_a 4.581
_cell_length_b 4.581
_cell_length_c 4.581
_cell_angle_alpha 60.00
_cell_angle_beta 60.00
_cell_angle_gamma 60.00
loop_
_atom_site_label
_atom_site_type_symbol
_atom_site_fract_x
_atom_site_fract_y
_atom_site_fract_z
Ce1 Ce 0.000 0.000 0.000
Mg1 Mg 0.500 0.500 0.500
Co1 Co 0.750 0.750 0.750
Tc1 Tc 0.250 0.250 0.250
# Energy relative to the elements in eV per atom: 0.0711

---

[9]
# PBE-GGA CeThMgCo2, optimized geometry
data_CeThMgCo2
_chemical_formula_sum 'Ce2 Th2 Mg2 Co4'
_space_group_name_H-M_alt 'P 1'
_space_group_IT_number 1
_space_group_name_Hall 'P 1'
_cell_length_a 6.024
_cell_length_b 6.024
_cell_length_c 9.093
_cell_angle_alpha 96.21
_cell_angle_beta 96.21
_cell_angle_gamma 41.83
loop_
_atom_site_label
_atom_site_type_symbol
_atom_site_fract_x
_atom_site_fract_y
_atom_site_fract_z
Ce1 Ce 0.052 0.052 0.221
Ce2 Ce 0.948 0.948 0.779
Th1 Th 0.349 0.349 0.401
Th2 Th 0.651 0.651 0.599
Mg1 Mg 0.344 0.344 0.012
Mg2 Mg 0.656 0.656 0.988
Co1 Co 0.141 0.141 0.820
Co2 Co 0.311 0.311 0.687
Co3 Co 0.689 0.689 0.313
Co4 Co 0.859 0.859 0.180
# Energy relative to the elements in eV per atom: -0.1270

---

[10]
# PBE-GGA CeMg2TlCo, optimized geometry
data_CeMg2TlCo
_chemical_formula_sum 'Ce1 Mg2 Tl1 Co1'
_space_group_name_H-M_alt 'P 1'
_space_group_IT_number 1
_space_group_name_Hall 'P 1'
_cell_length_a 5.037
_cell_length_b 5.037
_cell_length_c 4.759
_cell_angle_alpha 90.00
_cell_angle_beta 90.00
_cell_angle_gamma 90.00
loop_
_atom_site_label
_atom_site_type_symbol
_atom_site_fract_x
_atom_site_fract_y
_atom_site_fract_z
Ce1 Ce 0.000 0.000 0.000
Mg1 Mg 0.000 0.500 0.498
Mg2 Mg 0.500 0.000 0.498
Tl1 Tl 0.500 0.500 0.016
Co1 Co 0.000 0.000 0.543
# Energy relative to the elements in eV per atom: -0.1523

---

[11]
# PBE-GGA CeTmMgCo, optimized geometry
data_CeTmMgCo
_chemical_formula_sum 'Ce1 Tm1 Mg1 Co1'
_space_group_name_H-M_alt 'P 1'
_space_group_IT_number 1
_space_group_name_Hall 'P 1'
_cell_length_a 5.007
_cell_length_b 5.007
_cell_length_c 5.007
_cell_angle_alpha 60.00
_cell_angle_beta 60.00
_cell_angle_gamma 60.00
loop_
_atom_site_label
_atom_site_type_symbol
_atom_site_fract_x
_atom_site_fract_y
_atom_site_fract_z
Ce1 Ce 0.000 0.000 0.000
Tm1 Tm 0.500 0.500 0.500
Mg1 Mg 0.750 0.750 0.750
Co1 Co 0.250 0.250 0.250
# Energy relative to the elements in eV per atom: 0.0518

---

[12]
# PBE-GGA CeMnCo2, optimized geometry
data_CeMnCo2
_chemical_formula_sum 'Ce1 Mn1 Co2'
_space_group_name_H-M_alt 'P 1'
_space_group_IT_number 1
_space_group_name_Hall 'P 1'
_cell_length_a 2.904
_cell_length_b 2.904
_cell_length_c 6.862
_cell_angle_alpha 90.00
_cell_angle_beta 90.00
_cell_angle_gamma 90.00
loop_
_atom_site_label
_atom_site_type_symbol
_atom_site_fract_x
_atom_site_fract_y
_atom_site_fract_z
Ce1 Ce 0.000 0.000 0.000
Mn1 Mn 0.000 0.000 0.500
Co1 Co 0.500 0.500 0.310
Co2 Co 0.500 0.500 0.690
# Energy relative to the elements in eV per atom: 0.0432
# Excess energy over the best structure of this formula in the dataset in meV/atom: 105.9

---

[13]
# PBE-GGA CeMn4Co8, optimized geometry
data_CeMn4Co8
_chemical_formula_sum 'Ce1 Mn4 Co8'
_space_group_name_H-M_alt 'P 1'
_space_group_IT_number 1
_space_group_name_Hall 'P 1'
_cell_length_a 6.418
_cell_length_b 6.418
_cell_length_c 6.418
_cell_angle_alpha 97.62
_cell_angle_beta 97.62
_cell_angle_gamma 137.28
loop_
_atom_site_label
_atom_site_type_symbol
_atom_site_fract_x
_atom_site_fract_y
_atom_site_fract_z
Ce1 Ce 0.000 0.000 0.000
Mn1 Mn 0.268 0.500 0.768
Mn2 Mn 0.500 0.268 0.768
Mn3 Mn 0.500 0.732 0.232
Mn4 Mn 0.732 0.500 0.232
Co1 Co 0.000 0.000 0.500
Co2 Co 0.000 0.362 0.362
Co3 Co 0.000 0.500 0.000
Co4 Co 0.000 0.638 0.638
Co5 Co 0.362 0.000 0.362
Co6 Co 0.500 0.000 0.000
Co7 Co 0.500 0.500 0.500
Co8 Co 0.638 0.000 0.638
# Energy relative to the elements in eV per atom: 0.0280
# Excess energy over the best structure of this formula in the dataset in meV/atom: 7.8

---

[14]
# PBE-GGA CeMn2Co9, optimized geometry
data_CeMn2Co9
_chemical_formula_sum 'Ce1 Mn2 Co9'
_space_group_name_H-M_alt 'P 1'
_space_group_IT_number 1
_space_group_name_Hall 'P 1'
_cell_length_a 8.320
_cell_length_b 8.320
_cell_length_c 8.320
_cell_angle_alpha 33.53
_cell_angle_beta 33.53
_cell_angle_gamma 33.53
loop_
_atom_site_label
_atom_site_type_symbol
_atom_site_fract_x
_atom_site_fract_y
_atom_site_fract_z
Ce1 Ce 0.000 0.000 0.000
Mn1 Mn 0.145 0.145 0.145
Mn2 Mn 0.855 0.855 0.855
Co1 Co 0.079 0.592 0.592
Co2 Co 0.336 0.336 0.336
Co3 Co 0.408 0.408 0.921
Co4 Co 0.408 0.921 0.408
Co5 Co 0.500 0.500 0.500
Co6 Co 0.592 0.079 0.592
Co7 Co 0.592 0.592 0.079
Co8 Co 0.664 0.664 0.664
Co9 Co 0.921 0.408 0.408
# Energy relative to the elements in eV per atom: -0.0136

---

[15]
# PBE-GGA CeMn4Co8, optimized geometry
data_CeMn4Co8
_chemical_formula_sum 'Ce1 Mn4 Co8'
_space_group_name_H-M_alt 'P 1'
_space_group_IT_number 1
_space_group_name_Hall 'P 1'
_cell_length_a 6.349
_cell_length_b 6.349
_cell_length_c 6.349
_cell_angle_alpha 97.40
_cell_angle_beta 97.40
_cell_angle_gamma 137.93
loop_
_atom_site_label
_atom_site_type_symbol
_atom_site_fract_x
_atom_site_fract_y
_atom_site_fract_z
Ce1 Ce 0.000 0.000 0.000
Mn1 Mn 0.000 0.000 0.500
Mn2 Mn 0.000 0.500 0.000
Mn3 Mn 0.500 0.000 0.000
Mn4 Mn 0.500 0.500 0.500
Co1 Co 0.000 0.359 0.359
Co2 Co 0.000 0.641 0.641
Co3 Co 0.272 0.500 0.772
Co4 Co 0.359 0.000 0.359
Co5 Co 0.500 0.272 0.772
Co6 Co 0.500 0.728 0.228
Co7 Co 0.641 0.000 0.641
Co8 Co 0.728 0.500 0.228
# Energy relative to the elements in eV per atom: 0.0202
# Excess energy over the best structure of this formula in the dataset in meV/atom: 0.0

---

[16]
# PBE-GGA CeMn5Co7, optimized geometry
data_CeMn5Co7
_chemical_formula_sum 'Ce1 Mn5 Co7'
_space_group_name_H-M_alt 'P 1'
_space_group_IT_number 1
_space_group_name_Hall 'P 1'
_cell_length_a 6.330
_cell_length_b 6.330
_cell_length_c 6.330
_cell_angle_alpha 137.21
_cell_angle_beta 98.09
_cell_angle_gamma 97.21
loop_
_atom_site_label
_atom_site_type_symbol
_atom_site_fract_x
_atom_site_fract_y
_atom_site_fract_z
Ce1 Ce 0.000 0.000 0.000
Mn1 Mn 0.497 0.495 0.503
Mn2 Mn 0.497 0.994 0.001
Mn3 Mn 0.761 0.261 0.500
Mn4 Mn 0.993 0.495 0.999
Mn5 Mn 0.993 0.994 0.497
Co1 Co 0.221 0.495 0.726
Co2 Co 0.225 0.725 0.500
Co3 Co 0.348 0.992 0.356
Co4 Co 0.354 0.354 0.000
Co5 Co 0.636 0.636 0.000
Co6 Co 0.636 0.992 0.644
Co7 Co 0.768 0.495 0.274
# Energy relative to the elements in eV per atom: 0.0293

---

[17]
# PBE-GGA CeMnCo2, optimized geometry
data_CeMnCo2
_chemical_formula_sum 'Ce1 Mn1 Co2'
_space_group_name_H-M_alt 'P 1'
_space_group_IT_number 1
_space_group_name_Hall 'P 1'
_cell_length_a 4.192
_cell_length_b 4.192
_cell_length_c 3.436
_cell_angle_alpha 90.00
_cell_angle_beta 90.00
_cell_angle_gamma 90.00
loop_
_atom_site_label
_atom_site_type_symbol
_atom_site_fract_x
_atom_site_fract_y
_atom_site_fract_z
Ce1 Ce 0.000 0.000 0.000
Mn1 Mn 0.500 0.500 0.000
Co1 Co 0.000 0.500 0.500
Co2 Co 0.500 0.000 0.500
# Energy relative to the elements in eV per atom: 0.0095
# Excess energy over the best structure of this formula in the dataset in meV/atom: 72.2

---

[18]
# PBE-GGA CeMnCo2, optimized geometry
data_CeMnCo2
_chemical_formula_sum 'Ce1 Mn1 Co2'
_space_group_name_H-M_alt 'P 1'
_space_group_IT_number 1
_space_group_name_Hall 'P 1'
_cell_length_a 4.910
_cell_length_b 4.910
_cell_length_c 4.910
_cell_angle_alpha 51.19
_cell_angle_beta 51.19
_cell_angle_gamma 51.19
loop_
_atom_site_label
_atom_site_type_symbol
_atom_site_fract_x
_atom_site_fract_y
_atom_site_fract_z
Ce1 Ce 0.000 0.000 0.000
Mn1 Mn 0.500 0.500 0.500
Co1 Co 0.186 0.186 0.186
Co2 Co 0.814 0.814 0.814
# Energy relative to the elements in eV per atom: -0.0627
# Excess energy over the best structure of this formula in the dataset in meV/atom: 0.0

---

[19]
# PBE-GGA Ce2MnCo9, optimized geometry
data_Ce2MnCo9
_chemical_formula_sum 'Ce2 Mn1 Co9'
_space_group_name_H-M_alt 'P 1'
_space_group_IT_number 1
_space_group_name_Hall 'P 1'
_cell_length_a 8.735
_cell_length_b 8.735
_cell_length_c 8.735
_cell_angle_alpha 31.94
_cell_angle_beta 31.94
_cell_angle_gamma 31.94
loop_
_atom_site_label
_atom_site_type_symbol
_atom_site_fract_x
_atom_site_fract_y
_atom_site_fract_z
Ce1 Ce 0.137 0.137 0.137
Ce2 Ce 0.863 0.863 0.863
Mn1 Mn 0.000 0.000 0.000
Co1 Co 0.080 0.579 0.579
Co2 Co 0.333 0.333 0.333
Co3 Co 0.421 0.421 0.920
Co4 Co 0.421 0.920 0.421
Co5 Co 0.500 0.500 0.500
Co6 Co 0.579 0.080 0.579
Co7 Co 0.579 0.579 0.080
Co8 Co 0.667 0.667 0.667
Co9 Co 0.920 0.421 0.421
# Energy relative to the elements in eV per atom: -0.0176

---

[20]
# PBE-GGA Ce2Mn2Co15, optimized geometry
data_Ce2Mn2Co15
_chemical_formula_sum 'Ce2 Mn2 Co15'
_space_group_name_H-M_alt 'P 1'
_space_group_IT_number 1
_space_group_name_Hall 'P 1'
_cell_length_a 6.308
_cell_length_b 6.308
_cell_length_c 6.308
_cell_angle_alpha 82.88
_cell_angle_beta 82.88
_cell_angle_gamma 82.88
loop_
_atom_site_label
_atom_site_type_symbol
_atom_site_fract_x
_atom_site_fract_y
_atom_site_fract_z
Ce1 Ce 0.151 0.151 0.151
Ce2 Ce 0.849 0.849 0.849
Mn1 Mn 0.395 0.395 0.395
Mn2 Mn 0.605 0.605 0.605
Co1 Co 0.000 0.500 0.500
Co2 Co 0.150 0.150 0.650
Co3 Co 0.150 0.650 0.150
Co4 Co 0.213 0.500 0.787
Co5 Co 0.213 0.787 0.500
Co6 Co 0.350 0.850 0.850
Co7 Co 0.500 0.000 0.500
Co8 Co 0.500 0.213 0.787
Co9 Co 0.500 0.500 0.000
Co10 Co 0.500 0.787 0.213
Co11 Co 0.650 0.150 0.150
Co12 Co 0.787 0.213 0.500
Co13 Co 0.787 0.500 0.213
Co14 Co 0.850 0.350 0.850
Co15 Co 0.850 0.850 0.350
# Energy relative to the elements in eV per atom: -0.0816